Version A
LaCuAg | GGA-PBE | relaxed

a = 3.298 Å, b = 3.298 Å, c = 7.056 Å
α = 90.00°, β = 90.00°, γ = 120.00°
Fractional positions:
La1 0.000 0.000 0.000
Cu1 0.333 0.667 0.660
Ag1 0.667 0.333 0.393

Space-group type: P3m1
Magnetic moment in μB per atom: 0.00
Density in g cm⁻³: 7.75
V in Å³/atom: 22.160

Version B
LaCuAg | GGA-PBE | relaxed

a = 4.746 Å, b = 4.746 Å, c = 4.746 Å
α = 60.00°, β = 60.00°, γ = 60.00°
Fractional positions:
La1 0.000 0.000 0.000
Cu1 0.250 0.250 0.250
Ag1 0.500 0.500 0.500

Space-group type: F-43m
Magnetic moment in μB per atom: 0.00
Density in g cm⁻³: 6.82
V in Å³/atom: 25.203

Quick look at relative energies in meV/atom: version A 285; version B 0.

Version A
B2C | GGA-PBE | relaxed

a = 7.060 Å, b = 7.060 Å, c = 5.055 Å
α = 106.34°, β = 106.34°, γ = 21.34°
Fractional positions:
B1 0.000 0.000 0.000
B2 0.148 0.148 0.924
B3 0.229 0.229 0.525
B4 0.367 0.367 0.394
B5 0.510 0.510 0.569
B6 0.559 0.559 0.262
B7 0.714 0.714 0.141
B8 0.847 0.847 0.152
C1 0.044 0.044 0.728
C2 0.346 0.346 0.698
C3 0.675 0.675 0.412
C4 0.876 0.876 0.872

Space-group type: Cm
Magnetic moment in μB per atom: 0.00
Density in g cm⁻³: 2.54
V in Å³/atom: 7.322

Version B
B2C | GGA-PBE | relaxed

a = 9.716 Å, b = 2.687 Å, c = 4.485 Å
α = 90.00°, β = 90.00°, γ = 90.00°
Fractional positions:
B1 0.053 0.250 0.034
B2 0.239 0.750 0.290
B3 0.261 0.250 0.790
B4 0.447 0.750 0.534
B5 0.553 0.250 0.466
B6 0.739 0.750 0.210
B7 0.761 0.250 0.710
B8 0.947 0.750 0.966
C1 0.207 0.250 0.129
C2 0.293 0.750 0.629
C3 0.707 0.250 0.371
C4 0.793 0.750 0.871

Space-group type: Pnma
Magnetic moment in μB per atom: 0.00
Density in g cm⁻³: 1.91
V in Å³/atom: 9.757

Quick look at relative energies in meV/atom: version A 206; version B 0.

Version A
TcAs2 | GGA-PBE | relaxed

a = 11.680 Å, b = 11.680 Å, c = 11.680 Å
α = 164.96°, β = 164.96°, γ = 21.33°
Fractional positions:
Tc1 0.375 0.625 0.750
Tc2 0.625 0.375 0.250
As1 0.060 0.810 0.250
As2 0.190 0.940 0.250
As3 0.810 0.060 0.750
As4 0.940 0.190 0.750

Space-group type: I4_1/amd
Magnetic moment in μB per atom: 0.00
Density in g cm⁻³: 7.68
V in Å³/atom: 17.868

Version B
TcAs2 | GGA-PBE | relaxed

a = 4.673 Å, b = 4.673 Å, c = 2.657 Å
α = 90.00°, β = 90.00°, γ = 120.00°
Fractional positions:
Tc1 0.000 0.000 0.000
As1 0.333 0.667 0.500
As2 0.667 0.333 0.500

Space-group type: P6/mmm
Magnetic moment in μB per atom: 0.00
Density in g cm⁻³: 8.19
V in Å³/atom: 16.748

Quick look at relative energies in meV/atom: version A 0; version B 797.

Version A
Ba2TlAg | GGA-PBE | relaxed

a = 7.653 Å, b = 7.653 Å, c = 7.653 Å
α = 105.64°, β = 105.64°, γ = 117.44°
Fractional positions:
Ba1 0.101 0.125 0.476
Ba2 0.375 0.899 0.024
Ba3 0.649 0.625 0.524
Ba4 0.875 0.351 0.976
Tl1 0.250 0.750 0.500
Tl2 0.500 0.500 0.000
Ag1 0.000 0.000 0.000
Ag2 0.750 0.250 0.500

Space-group type: I-42d
Magnetic moment in μB per atom: 0.00
Density in g cm⁻³: 5.73
V in Å³/atom: 42.504

Version B
Ba2TlAg | GGA-PBE | relaxed

a = 4.224 Å, b = 4.224 Å, c = 8.380 Å
α = 90.00°, β = 90.00°, γ = 90.00°
Fractional positions:
Ba1 0.000 0.000 0.243
Ba2 0.000 0.000 0.757
Tl1 0.500 0.500 0.500
Ag1 0.500 0.500 0.000

Space-group type: P4/mmm
Magnetic moment in μB per atom: 0.00
Density in g cm⁻³: 6.52
V in Å³/atom: 37.374

Quick look at relative energies in meV/atom: version A 258; version B 0.

Version A
FeRe2Ru | GGA-PBE | relaxed

a = 2.718 Å, b = 4.301 Å, c = 4.675 Å
α = 90.00°, β = 90.00°, γ = 90.00°
Fractional positions:
Fe1 0.000 0.000 0.000
Re1 0.500 0.000 0.511
Re2 0.500 0.500 0.852
Ru1 0.000 0.500 0.340

Space-group type: Pmm2
Magnetic moment in μB per atom: 0.17
Density in g cm⁻³: 16.08
V in Å³/atom: 13.666

Version B
FeRe2Ru | GGA-PBE | relaxed

a = 2.706 Å, b = 3.726 Å, c = 5.419 Å
α = 90.00°, β = 90.00°, γ = 90.00°
Fractional positions:
Fe1 0.000 0.000 0.000
Re1 0.500 0.500 0.235
Re2 0.500 0.500 0.765
Ru1 0.000 0.000 0.500

Space-group type: Pmmm
Magnetic moment in μB per atom: 0.00
Density in g cm⁻³: 16.08
V in Å³/atom: 13.662

Quick look at relative energies in meV/atom: version A 0; version B 65.

Version A
CrIn2Os | GGA-PBE | relaxed

a = 2.973 Å, b = 2.973 Å, c = 8.310 Å
α = 90.00°, β = 90.00°, γ = 90.00°
Fractional positions:
Cr1 0.000 0.000 0.000
In1 0.000 0.000 0.589
In2 0.500 0.500 0.239
Os1 0.500 0.500 0.842

Space-group type: P4mm
Magnetic moment in μB per atom: 0.00
Density in g cm⁻³: 10.67
V in Å³/atom: 18.360

Version B
CrIn2Os | GGA-PBE | relaxed

a = 9.094 Å, b = 9.094 Å, c = 9.094 Å
α = 19.54°, β = 19.54°, γ = 19.54°
Fractional positions:
Cr1 0.000 0.000 0.000
In1 0.248 0.248 0.248
In2 0.752 0.752 0.752
Os1 0.500 0.500 0.500

Space-group type: R-3m
Magnetic moment in μB per atom: 0.89
Density in g cm⁻³: 10.66
V in Å³/atom: 18.381

Quick look at relative energies in meV/atom: version A 0; version B 361.

Version A
VNi2Pt4 | GGA-PBE | relaxed

a = 5.246 Å, b = 5.246 Å, c = 5.246 Å
α = 117.80°, β = 117.80°, γ = 93.85°
Fractional positions:
V1 0.000 0.000 0.000
Ni1 0.000 0.500 0.500
Ni2 0.500 0.000 0.500
Pt1 0.000 0.000 0.500
Pt2 0.000 0.500 0.000
Pt3 0.500 0.000 0.000
Pt4 0.500 0.500 0.500

Space-group type: I4/mmm
Magnetic moment in μB per atom: 0.00
Density in g cm⁻³: 14.97
V in Å³/atom: 15.031

Version B
VNi2Pt4 | GGA-PBE | relaxed

a = 5.023 Å, b = 5.023 Å, c = 4.607 Å
α = 91.03°, β = 91.03°, γ = 116.12°
Fractional positions:
V1 0.000 0.000 0.000
Ni1 0.419 0.419 0.742
Ni2 0.581 0.581 0.258
Pt1 0.000 0.500 0.000
Pt2 0.166 0.834 0.500
Pt3 0.500 0.000 0.000
Pt4 0.834 0.166 0.500

Space-group type: C2/m
Magnetic moment in μB per atom: 0.18
Density in g cm⁻³: 15.10
V in Å³/atom: 14.904

Quick look at relative energies in meV/atom: version A 0; version B 148.

Version A
Zr2CoAu | GGA-PBE | relaxed

a = 3.183 Å, b = 3.136 Å, c = 7.278 Å
α = 90.00°, β = 92.19°, γ = 90.00°
Fractional positions:
Zr1 0.022 0.000 0.280
Zr2 0.978 0.000 0.720
Co1 0.500 0.500 0.500
Au1 0.500 0.500 0.000

Space-group type: P2/m
Magnetic moment in μB per atom: 0.00
Density in g cm⁻³: 10.03
V in Å³/atom: 18.146

Version B
Zr2CoAu | GGA-PBE | relaxed

a = 5.666 Å, b = 5.666 Å, c = 5.666 Å
α = 146.20°, β = 132.89°, γ = 59.23°
Fractional positions:
Zr1 0.000 0.000 0.000
Zr2 0.717 0.217 0.500
Co1 0.509 0.509 0.000
Au1 0.286 0.786 0.500

Space-group type: Imm2
Magnetic moment in μB per atom: 0.00
Density in g cm⁻³: 9.90
V in Å³/atom: 18.372

Quick look at relative energies in meV/atom: version A 0; version B 133.